[1]
# In2NiBr

In2NiBr after structural relaxation (GGA-PBE, Alexandria via LeMat-Bulk).

Computed properties:
Calculated density in g cm⁻³: 6.3
Total moment in μB per formula unit: 0.00
ΔE_f (raw) in eV/atom: -0.12

abc: 8.0149 8.0149 3.6284
angles: 90.05 90.05 24.65
Fractional coordinates of all 4 atoms:
In: 0.0000 0.0000 0.0000
In: 0.1884 0.1884 0.5037
Ni: 0.5577 0.5577 0.5005
Br: 0.8173 0.8173 0.0024

***

[2]
# In2NiBr

In2NiBr after structural relaxation (GGA-PBE, Alexandria via LeMat-Bulk).

Computed properties:
Calculated density in g cm⁻³: 5.9
Total moment in μB per formula unit: 0.00
ΔE_f (raw) in eV/atom: -0.07

abc: 3.8790 5.8846 5.8846
angles: 50.98 90.00 90.00
Fractional coordinates of all 4 atoms:
In: 0.0000 0.0000 0.0000
In: 0.5000 0.3735 0.3735
Ni: 0.0000 0.5319 0.5319
Br: 0.5000 0.6960 0.6960

***

[3]
# InNi4Br

InNi4Br after structural relaxation (GGA-PBE, Alexandria via LeMat-Bulk).

Computed properties:
Calculated density in g cm⁻³: 8.1
Total moment in μB per formula unit: 1.83
ΔE_f (raw) in eV/atom: 0.40

abc: 4.9915 4.9915 4.9915
angles: 60.00 60.00 60.00
Fractional coordinates of all 6 atoms:
In: 0.0000 0.0000 0.0000
Ni: 0.3739 0.3739 0.3739
Ni: 0.3739 0.3739 0.8782
Ni: 0.3739 0.8782 0.3739
Ni: 0.8782 0.3739 0.3739
Br: 0.7500 0.7500 0.7500

***

[4]
# InNi3Br

InNi3Br after structural relaxation (GGA-PBE, Alexandria via LeMat-Bulk).

Computed properties:
Calculated density in g cm⁻³: 5.6
Total moment in μB per formula unit: 0.73
ΔE_f (raw) in eV/atom: 1.15

abc: 4.7857 4.7857 4.7857
angles: 90.00 90.00 90.00
Fractional coordinates of all 5 atoms:
In: 0.0000 0.0000 0.0000
Ni: 0.0000 0.0000 0.5000
Ni: 0.0000 0.5000 0.0000
Ni: 0.5000 0.0000 0.0000
Br: 0.5000 0.5000 0.5000

***

[5]
# InNi3Br

InNi3Br after structural relaxation (GGA-PBE, Alexandria via LeMat-Bulk).

Computed properties:
Calculated density in g cm⁻³: 7.0
Total moment in μB per formula unit: 0.00
ΔE_f (raw) in eV/atom: 0.69

abc: 4.4572 4.4572 4.4572
angles: 90.00 90.00 90.00
Fractional coordinates of all 5 atoms:
In: 0.0000 0.0000 0.0000
Ni: 0.0000 0.5000 0.5000
Ni: 0.5000 0.0000 0.5000
Ni: 0.5000 0.5000 0.0000
Br: 0.5000 0.5000 0.5000

***

[6]
# In2NiBr8

In2NiBr8 after structural relaxation (GGA-PBE, Alexandria via LeMat-Bulk).

Computed properties:
Calculated density in g cm⁻³: 3.6
Total moment in μB per formula unit: 1.86
ΔE_f (raw) in eV/atom: -0.64

abc: 10.7377 10.7377 13.0204
angles: 126.33 126.33 49.37
Fractional coordinates of all 22 atoms:
In: 0.1632 0.6820 0.9696
In: 0.3180 0.8368 0.5304
In: 0.6820 0.1632 0.4696
In: 0.8368 0.3180 0.0304
Ni: 0.0018 0.9982 0.2500
Ni: 0.9982 0.0018 0.7500
Br: 0.1234 0.7243 0.2905
Br: 0.1366 0.1418 0.0004
Br: 0.1379 0.7026 0.7706
Br: 0.1418 0.1366 0.5004
Br: 0.2757 0.8766 0.2095
Br: 0.2974 0.8621 0.7294
Br: 0.3265 0.3663 0.9387
Br: 0.3663 0.3265 0.4387
Br: 0.6337 0.6735 0.5613
Br: 0.6735 0.6337 0.0613
Br: 0.7026 0.1379 0.2706
Br: 0.7243 0.1234 0.7905
Br: 0.8582 0.8634 0.4996
Br: 0.8621 0.2974 0.2294
Br: 0.8634 0.8582 0.9996
Br: 0.8766 0.2757 0.7095

***

[7]
# In2NiBr

In2NiBr after structural relaxation (GGA-PBE, Alexandria via LeMat-Bulk).

Computed properties:
Calculated density in g cm⁻³: 6.7
Total moment in μB per formula unit: 0.00
ΔE_f (raw) in eV/atom: 0.06

abc: 3.3593 3.3593 8.0483
angles: 90.00 90.00 90.00
Fractional coordinates of all 4 atoms:
In: 0.0000 0.0000 0.0000
In: 0.5000 0.5000 0.3103
Ni: 0.0000 0.0000 0.4672
Br: 0.5000 0.5000 0.6818

***

[8]
# In2NiBr

In2NiBr after structural relaxation (GGA-PBE, Alexandria via LeMat-Bulk).

Computed properties:
Calculated density in g cm⁻³: 6.1
Total moment in μB per formula unit: 0.00
ΔE_f (raw) in eV/atom: 0.28

abc: 6.6793 6.6793 6.6793
angles: 144.59 144.59 50.94
Fractional coordinates of all 4 atoms:
In: 0.0000 0.0000 0.0000
In: 0.7500 0.2500 0.5000
Ni: 0.2500 0.7500 0.5000
Br: 0.5000 0.5000 0.0000

***

no.,DFT total energy (eV/atom)
1,-3.348
2,-3.301
3,-4.186
4,-3.201
5,-3.665
6,-2.879
7,-3.171
8,-2.956